No. 1
# PaMn2Si3, relaxed, DFT GGA-PBE
data_PaMn2Si3
_chemical_formula_sum 'Pa4 Mn8 Si12'
_space_group_name_H-M_alt 'C m c m'
_space_group_IT_number 63
_space_group_name_Hall '-C 2c 2'
_cell_length_a 9.3336
_cell_length_b 7.3884
_cell_length_c 5.1650
_cell_angle_alpha 90.00
_cell_angle_beta 90.00
_cell_angle_gamma 90.00
loop_
_atom_site_label
_atom_site_type_symbol
_atom_site_fract_x
_atom_site_fract_y
_atom_site_fract_z
_atom_site_occupancy
Pa1 Pa 0.0000 0.1578 0.2500 1
Mn1 Mn 0.2064 0.5000 0.0000 1
Si1 Si 0.0000 0.4446 0.7500 1
Si2 Si 0.1790 0.2162 0.7500 1
# Fermi-level density of states, states/eV per atom: 0.9405
# Energy, eV per atom: -7.798



No. 2
# TbPu3Tl12, relaxed, DFT GGA-PBE
data_TbPu3Tl12
_chemical_formula_sum 'Tb1 Pu3 Tl12'
_space_group_name_H-M_alt 'P 4/m m m'
_space_group_IT_number 123
_space_group_name_Hall '-P 4 2'
_cell_length_a 4.7931
_cell_length_b 4.7931
_cell_length_c 19.0571
_cell_angle_alpha 90.00
_cell_angle_beta 90.00
_cell_angle_gamma 90.00
loop_
_atom_site_label
_atom_site_type_symbol
_atom_site_fract_x
_atom_site_fract_y
_atom_site_fract_z
_atom_site_occupancy
Tb1 Tb 0.0000 0.0000 0.0000 1
Pu1 Pu 0.0000 0.0000 0.2486 1
Pu2 Pu 0.0000 0.0000 0.5000 1
Tl1 Tl 0.0000 0.5000 0.1247 1
Tl2 Tl 0.0000 0.5000 0.3749 1
Tl3 Tl 0.5000 0.5000 0.0000 1
Tl4 Tl 0.5000 0.5000 0.2506 1
Tl5 Tl 0.5000 0.5000 0.5000 1
# Fermi-level density of states, states/eV per atom: 2.6457
# Formation enthalpy at 0 K, eV per atom: -0.084
# Energy, eV per atom: -4.836



No. 3
# HoAlOs, relaxed, DFT GGA-PBE
data_HoAlOs
_chemical_formula_sum 'Ho1 Al1 Os1'
_space_group_name_H-M_alt 'P -6 m 2'
_space_group_IT_number 187
_space_group_name_Hall 'P -6 2'
_cell_length_a 4.3457
_cell_length_b 4.3457
_cell_length_c 3.5819
_cell_angle_alpha 90.00
_cell_angle_beta 90.00
_cell_angle_gamma 120.00
loop_
_atom_site_label
_atom_site_type_symbol
_atom_site_fract_x
_atom_site_fract_y
_atom_site_fract_z
_atom_site_occupancy
Ho1 Ho 0.0000 0.0000 0.0000 1
Al1 Al 0.3333 0.6667 0.5000 1
Os1 Os 0.6667 0.3333 0.5000 1
# Fermi-level density of states, states/eV per atom: 0.4988
# Formation enthalpy at 0 K, eV per atom: -0.330
# Energy, eV per atom: -6.847



No. 4
# Tb3ErOs, relaxed, DFT GGA-PBE
data_Tb3ErOs
_chemical_formula_sum 'Tb6 Er2 Os2'
_space_group_name_H-M_alt 'P m n 21'
_space_group_IT_number 31
_space_group_name_Hall 'P 2ac -2'
_cell_length_a 7.7065
_cell_length_b 6.4375
_cell_length_c 6.2351
_cell_angle_alpha 90.00
_cell_angle_beta 90.00
_cell_angle_gamma 90.00
loop_
_atom_site_label
_atom_site_type_symbol
_atom_site_fract_x
_atom_site_fract_y
_atom_site_fract_z
_atom_site_occupancy
Tb1 Tb 0.0000 0.1582 0.0000 1
Tb2 Tb 0.2497 0.3177 0.5023 1
Er1 Er 0.0000 0.8401 0.5057 1
Os1 Os 0.0000 0.5016 0.2530 1
# Fermi-level density of states, states/eV per atom: 1.1253
# Formation enthalpy at 0 K, eV per atom: -0.053
# Energy, eV per atom: -5.989



> Which of these has the lowest Fermi-level density of states?

HoAlOs



> What is the energy in the fourth record?

-5.989 eV per atom



> Fermi-level density of states of number 2 (TbPu3Tl12)?

2.6457 states/eV per atom